Dy4AlTl2 | PBE-GGA | optimized geometry

Lattice parameters (Å, degrees): 5.2167 5.2167 9.0480 73.25 73.25 60.00
Fractional positions:
Tl 0.7536 0.7536 0.7392
Tl 0.2464 0.2464 0.2608
Al 0.0000 0.0000 0.0000
Dy 0.8759 0.8759 0.3722
Dy 0.1241 0.1241 0.6278
Dy 0.6243 0.6243 0.1271
Dy 0.3757 0.3757 0.8729

Output
The calculation puts the energy above the lowest structure with this stoichiometry at 35 meV/atom. For the total moment, the calculation gives 0.0 μB/f.u. For the formation energy, the calculation gives -0.20 eV/atom. For the raw total energy, the calculation gives -28.26 eV per cell.

DyAlTl | PBE-GGA | optimized geometry

Lattice parameters (Å, degrees): 5.7507 4.8469 7.9318 77.58 68.75 53.61
Fractional positions:
Tl 0.7500 0.5000 0.5000
Tl 0.2500 0.5000 0.5000
Al 0.8329 0.3343 0.0000
Al 0.1671 0.6657 0.0000
Dy 0.6083 0.0000 0.7833
Dy 0.3917 0.0000 0.2167

Output
The calculation puts the energy above the lowest structure with this stoichiometry at 338 meV/atom. For the total moment, the calculation gives 0.0 μB/f.u. For the formation energy, the calculation gives 0.07 eV/atom. For the raw total energy, the calculation gives -21.02 eV per cell.

Dy5Al4Tl | PBE-GGA | optimized geometry

Lattice parameters (Å, degrees): 3.6078 3.6078 18.5686 90.00 90.00 90.00
Fractional positions:
Dy 0.5000 0.5000 0.1119
Dy 0.5000 0.5000 0.3077
Dy 0.5000 0.5000 0.5000
Dy 0.5000 0.5000 0.6923
Dy 0.5000 0.5000 0.8881
Al 0.0000 0.0000 0.2096
Al 0.0000 0.0000 0.4041
Al 0.0000 0.0000 0.5959
Al 0.0000 0.0000 0.7904
Tl 0.0000 0.0000 0.0000

Output
For the total moment, the calculation gives 0.0 μB/f.u. For the formation energy, the calculation gives -0.38 eV/atom. For the raw total energy, the calculation gives -44.19 eV per cell.

DyZrAlTl | PBE-GGA | optimized geometry

Lattice parameters (Å, degrees): 5.0912 5.0912 5.0912 60.00 60.00 60.00
Fractional positions:
Tl 0.7500 0.7500 0.7500
Al 0.2500 0.2500 0.2500
Zr 0.0000 0.0000 0.0000
Dy 0.5000 0.5000 0.5000

Output
For the total moment, the calculation gives 0.0 μB/f.u. For the formation energy, the calculation gives -0.16 eV/atom. For the raw total energy, the calculation gives -19.90 eV per cell.

DyTm8Al2 | PBE-GGA | optimized geometry

Lattice parameters (Å, degrees): 5.1100 8.0844 8.4665 112.71 107.56 90.00
Fractional positions:
Dy 0.5000 0.0000 0.0000
Tm 0.6092 0.4730 0.2185
Tm 0.3116 0.0491 0.6231
Tm 0.1533 0.2219 0.3066
Tm 0.0563 0.7344 0.1127
Tm 0.8467 0.7781 0.6934
Tm 0.6884 0.9509 0.3769
Tm 0.3908 0.5270 0.7815
Tm 0.9437 0.2656 0.8873
Al 0.2250 0.6427 0.4500
Al 0.7750 0.3573 0.5500

Output
The calculation puts the energy above the lowest structure with this stoichiometry at 0 meV/atom. For the total moment, the calculation gives 0.0 μB/f.u. For the formation energy, the calculation gives -0.11 eV/atom. For the raw total energy, the calculation gives -49.09 eV per cell.

DyTm12Al3 | PBE-GGA | optimized geometry

Lattice parameters (Å, degrees): 4.7331 4.7331 19.2359 90.00 90.00 90.00
Fractional positions:
Dy 0.0000 0.0000 0.0000
Tm 0.5000 0.5000 0.0000
Tm 0.5000 0.5000 0.2574
Tm 0.5000 0.5000 0.5000
Tm 0.5000 0.5000 0.7426
Tm 0.5000 0.0000 0.1342
Tm 0.5000 0.0000 0.3784
Tm 0.5000 0.0000 0.6216
Tm 0.5000 0.0000 0.8658
Tm 0.0000 0.5000 0.1342
Tm 0.0000 0.5000 0.3784
Tm 0.0000 0.5000 0.6216
Tm 0.0000 0.5000 0.8658
Al 0.0000 0.0000 0.2578
Al 0.0000 0.0000 0.5000
Al 0.0000 0.0000 0.7422

Output
For the total moment, the calculation gives 0.0 μB/f.u. For the formation energy, the calculation gives -0.13 eV/atom. For the raw total energy, the calculation gives -71.57 eV per cell.

> Which value of raw total energy does entry 5 give?

-49.09 eV per cell

> raw total energy of number 4 (DyZrAlTl)?

-19.90 eV per cell

> Which value of raw total energy does entry 6 give?

-71.57 eV per cell